VASP calculation (PBE-GGA) on a geometry-optimized AlGaAg structure.

a = 3.0933 Å, b = 3.0933 Å, c = 6.3202 Å
α = 90.00°, β = 90.00°, γ = 120.00°
Fractional coordinates of all 3 atoms:
Ga1 0.0000 0.0000 0.0061
Ag1 0.3333 0.6667 0.6615
Al1 0.6667 0.3333 0.3325

Summary:
- Volume: 17.46 A^3/atom
- Magnetic moment: 0.000 μB per atom
- D(E_F): 1.08 states/eV/cell
- Symmetry: No. 156
- Electronic total energy: -9.6 eV for the cell shown

VASP calculation (PBE-GGA) on a geometry-optimized Al3Ga2Ag2 structure.

a = 2.9271 Å, b = 8.6135 Å, c = 5.4610 Å
α = 77.18°, β = 90.01°, γ = 89.99°
Fractional coordinates of all 7 atoms:
Al1 0.0000 0.0000 0.0000
Al2 0.5000 0.5194 0.2383
Al3 0.5000 0.4806 0.7617
Ga1 0.0003 0.2493 0.6077
Ga2 0.9997 0.7507 0.3923
Ag1 0.4998 0.2114 0.1894
Ag2 0.5002 0.7886 0.8106

Summary:
- Volume: 19.18 A^3/atom
- Magnetic moment: 0.000 μB per atom
- E above lowest polymorph: 68 meV/atom
- D(E_F): 2.55 states/eV/cell
- Symmetry: No. 10

VASP calculation (PBE-GGA) on a geometry-optimized Al6GaAg structure.

a = 5.0157 Å, b = 5.0157 Å, c = 5.5220 Å
α = 90.00°, β = 90.00°, γ = 90.00°
Fractional coordinates of all 8 atoms:
Al1 0.5000 0.5000 0.0000
Al2 0.5000 0.5000 0.5000
Al3 0.5000 0.0000 0.2496
Al4 0.5000 0.0000 0.7504
Al5 0.0000 0.5000 0.2496
Al6 0.0000 0.5000 0.7504
Ga1 0.0000 0.0000 0.0000
Ag1 0.0000 0.0000 0.5000

Summary:
- Volume: 17.36 A^3/atom
- Magnetic moment: 0.000 μB per atom
- E above lowest polymorph: 0 meV/atom
- D(E_F): 3.00 states/eV/cell
- Symmetry: No. 123

VASP calculation (PBE-GGA) on a geometry-optimized Al3Ga12Ag5 structure.

a = 13.2249 Å, b = 13.2249 Å, c = 13.2249 Å
α = 109.47°, β = 109.47°, γ = 109.47°
Fractional coordinates of all 80 atoms:
Al1 0.7500 0.3750 0.1250
Al2 0.8750 0.7500 0.1250
Al3 0.3750 0.7500 0.6250
Al4 0.2500 0.1250 0.3750
Al5 0.8750 0.1250 0.2500
Al6 0.3750 0.6250 0.2500
Al7 0.6250 0.3750 0.7500
Al8 0.1250 0.8750 0.7500
Al9 0.7500 0.8750 0.6250
Al10 0.6250 0.2500 0.3750
Al11 0.1250 0.2500 0.8750
Al12 0.2500 0.6250 0.8750
Ag1 0.1250 0.3750 0.2500
Ag2 0.0000 0.5000 0.0000
Ag3 0.0000 0.0000 0.0000
Ag4 0.3750 0.2500 0.1250
Ag5 0.5000 0.0000 0.5000
Ag6 0.5000 0.5000 0.0000
Ag7 0.1250 0.7500 0.3750
Ag8 0.7500 0.1250 0.8750
Ag9 0.7500 0.6250 0.3750
Ag10 0.3750 0.1250 0.7500
Ag11 0.6250 0.8750 0.2500
Ag12 0.5000 0.5000 0.5000
Ag13 0.5000 0.0000 0.0000
Ag14 0.0000 0.0000 0.5000
Ag15 0.2500 0.3750 0.6250
Ag16 0.2500 0.8750 0.1250
Ag17 0.0000 0.5000 0.5000
Ag18 0.8750 0.2500 0.6250
Ag19 0.6250 0.7500 0.8750
Ag20 0.8750 0.6250 0.7500
Ga1 0.7336 0.1376 0.0673
Ga2 0.3338 0.5673 0.4298
Ga3 0.9327 0.3624 0.2664
Ga4 0.5673 0.2336 0.1376
Ga5 0.5960 0.7336 0.6662
Ga6 0.9327 0.5702 0.1662
Ga7 0.3338 0.7664 0.4040
Ga8 0.0702 0.9040 0.1376
Ga9 0.5702 0.9327 0.6662
Ga10 0.7336 0.5960 0.1662
Ga11 0.7664 0.4327 0.3624
Ga12 0.8338 0.9298 0.0673
Ga13 0.1376 0.7336 0.5673
Ga14 0.3624 0.4298 0.0960
Ga15 0.0960 0.9298 0.3624
Ga16 0.4040 0.1376 0.5702
Ga17 0.0960 0.1662 0.2336
Ga18 0.4327 0.6662 0.0702
Ga19 0.8338 0.9040 0.2664
Ga20 0.1376 0.4040 0.0702
Ga21 0.3624 0.9327 0.7664
Ga22 0.5702 0.6376 0.4040
Ga23 0.9298 0.8338 0.5673
Ga24 0.7664 0.3338 0.9040
Ga25 0.4298 0.3624 0.5960
Ga26 0.0702 0.1662 0.4327
Ga27 0.2336 0.6662 0.0960
Ga28 0.1662 0.0960 0.7336
Ga29 0.6376 0.0673 0.2336
Ga30 0.8624 0.5960 0.9298
Ga31 0.5673 0.3338 0.9298
Ga32 0.5960 0.8624 0.4298
Ga33 0.9040 0.8338 0.7664
Ga34 0.9040 0.0702 0.6376
Ga35 0.8624 0.2664 0.4327
Ga36 0.1662 0.0702 0.9327
Ga37 0.6376 0.5702 0.9040
Ga38 0.4298 0.0673 0.3338
Ga39 0.2664 0.4040 0.8338
Ga40 0.2336 0.5673 0.6376
Ga41 0.9298 0.0960 0.8624
Ga42 0.6662 0.2336 0.5960
Ga43 0.4327 0.7664 0.8624
Ga44 0.0673 0.4298 0.8338
Ga45 0.4040 0.2664 0.3338
Ga46 0.0673 0.6376 0.7336
Ga47 0.6662 0.4327 0.5702
Ga48 0.2664 0.8624 0.9327

Summary:
- Volume: 22.26 A^3/atom
- Magnetic moment: 0.000 μB per atom
- D(E_F): 42.28 states/eV/cell
- Symmetry: No. 230
- Electronic total energy: -232.2 eV for the cell shown

VASP calculation (PBE-GGA) on a geometry-optimized Al2GaAg2 structure.

a = 2.9460 Å, b = 2.9460 Å, c = 11.5367 Å
α = 90.00°, β = 90.00°, γ = 120.00°
Fractional coordinates of all 5 atoms:
Al1 0.3333 0.6667 0.9029
Al2 0.6667 0.3333 0.0971
Ga1 0.0000 0.0000 0.5000
Ag1 0.6667 0.3333 0.7077
Ag2 0.3333 0.6667 0.2923

Summary:
- Volume: 17.34 A^3/atom
- Magnetic moment: 0.000 μB per atom
- E above lowest polymorph: 20 meV/atom
- D(E_F): 1.15 states/eV/cell
- Symmetry: No. 164

VASP calculation (PBE-GGA) on a geometry-optimized Al2Ga3Ag4 structure.

a = 5.6942 Å, b = 6.9551 Å, c = 9.5962 Å
α = 71.42°, β = 66.28°, γ = 89.92°
Fractional coordinates of all 18 atoms:
Al1 0.5379 0.4261 0.1431
Al2 0.9439 0.7915 0.5742
Al3 0.4621 0.5739 0.8569
Al4 0.0561 0.2085 0.4258
Ga1 0.1488 0.1895 0.9333
Ga2 0.5431 0.0016 0.7413
Ga3 0.8512 0.8105 0.0667
Ga4 0.4569 0.9984 0.2587
Ga5 0.7213 0.4337 0.5887
Ga6 0.2787 0.5663 0.4113
Ag1 0.6507 0.2081 0.9179
Ag2 0.0647 0.0323 0.7208
Ag3 0.3493 0.7919 0.0821
Ag4 0.9353 0.9677 0.2792
Ag5 0.0235 0.4292 0.1515
Ag6 0.4512 0.7688 0.5631
Ag7 0.9765 0.5708 0.8485
Ag8 0.5488 0.2312 0.4369

Summary:
- Volume: 18.13 A^3/atom
- Magnetic moment: 0.000 μB per atom
- E above lowest polymorph: 0 meV/atom
- D(E_F): 5.65 states/eV/cell
- Symmetry: No. 2

VASP calculation (PBE-GGA) on a geometry-optimized Al15Ga2Ag2 structure.

a = 7.1150 Å, b = 7.1150 Å, c = 7.1150 Å
α = 81.02°, β = 81.02°, γ = 81.02°
Fractional coordinates of all 19 atoms:
Al1 0.0000 0.5000 0.0000
Al2 0.0000 0.0000 0.5000
Al3 0.5000 0.0000 0.0000
Al4 0.3147 0.0000 0.6853
Al5 0.6853 0.3147 0.0000
Al6 0.0000 0.6853 0.3147
Al7 0.3147 0.6853 0.0000
Al8 0.0000 0.3147 0.6853
Al9 0.6853 0.0000 0.3147
Al10 0.3462 0.8423 0.3462
Al11 0.3462 0.3462 0.8423
Al12 0.8423 0.3462 0.3462
Al13 0.6538 0.1577 0.6538
Al14 0.6538 0.6538 0.1577
Al15 0.1577 0.6538 0.6538
Ga1 0.6177 0.6177 0.6177
Ga2 0.3823 0.3823 0.3823
Ag1 0.8938 0.8938 0.8938
Ag2 0.1062 0.1062 0.1062

Summary:
- Volume: 18.33 A^3/atom
- Magnetic moment: 0.000 μB per atom
- D(E_F): 8.15 states/eV/cell
- Symmetry: No. 166
- Electronic total energy: -65.6 eV for the cell shown

VASP calculation (PBE-GGA) on a geometry-optimized AlGa5Ag3 structure.

a = 7.3208 Å, b = 7.3208 Å, c = 9.9919 Å
α = 58.81°, β = 58.81°, γ = 76.75°
Fractional coordinates of all 18 atoms:
Al1 0.0960 0.0960 0.6776
Al2 0.9040 0.9040 0.3224
Ga1 0.9658 0.4206 0.4207
Ga2 0.2773 0.7227 0.0000
Ga3 0.7689 0.7689 0.0031
Ga4 0.4400 0.4400 0.3235
Ga5 0.5600 0.5600 0.6765
Ga6 0.2311 0.2311 0.9969
Ga7 0.4206 0.9658 0.4207
Ga8 0.7227 0.2773 0.0000
Ga9 0.0342 0.5794 0.5793
Ga10 0.5794 0.0342 0.5793
Ag1 0.6870 0.6870 0.8204
Ag2 0.6642 0.6642 0.3335
Ag3 0.0000 0.0000 0.0000
Ag4 0.0000 0.0000 0.5000
Ag5 0.3130 0.3130 0.1796
Ag6 0.3358 0.3358 0.6665

Summary:
- Volume: 21.74 A^3/atom
- Magnetic moment: 0.000 μB per atom
- D(E_F): 6.01 states/eV/cell
- Symmetry: No. 12
- Electronic total energy: -52.0 eV for the cell shown

VASP calculation (PBE-GGA) on a geometry-optimized Al7Ga4Ag structure.

a = 3.0154 Å, b = 3.0154 Å, c = 26.2610 Å
α = 90.00°, β = 90.00°, γ = 120.00°
Fractional coordinates of all 12 atoms:
Al1 0.0000 0.0000 0.0000
Al2 0.3333 0.6667 0.4178
Al3 0.6667 0.3333 0.5822
Al4 0.3333 0.6667 0.1691
Al5 0.6667 0.3333 0.8309
Al6 0.0000 0.0000 0.7471
Al7 0.0000 0.0000 0.2529
Ga1 0.3333 0.6667 0.9150
Ga2 0.6667 0.3333 0.0850
Ga3 0.3333 0.6667 0.6649
Ga4 0.6667 0.3333 0.3351
Ag1 0.0000 0.0000 0.5000

Summary:
- Volume: 17.23 A^3/atom
- Magnetic moment: 0.000 μB per atom
- D(E_F): 3.87 states/eV/cell
- Symmetry: No. 164
- Electronic total energy: -40.8 eV for the cell shown

VASP calculation (PBE-GGA) on a geometry-optimized Al8GaAg4 structure.

a = 4.8453 Å, b = 2.8499 Å, c = 17.2791 Å
α = 90.00°, β = 106.86°, γ = 90.00°
Fractional coordinates of all 13 atoms:
Al1 0.9649 0.0000 0.4587
Al2 0.9488 0.5000 0.8989
Al3 0.4804 0.5000 0.0750
Al4 0.4731 0.0000 0.6091
Al5 0.0707 0.5000 0.1825
Al6 0.9588 0.0000 0.7530
Al7 0.6083 0.0000 0.2330
Al8 0.4666 0.5000 0.7574
Ga1 0.1746 0.0000 0.3220
Ag1 0.9538 0.0000 0.0404
Ag2 0.9797 0.5000 0.6103
Ag3 0.4807 0.5000 0.4610
Ag4 0.4395 0.0000 0.9018

Summary:
- Volume: 17.56 A^3/atom
- Magnetic moment: 0.000 μB per atom
- D(E_F): 4.06 states/eV/cell
- Symmetry: No. 6
- Electronic total energy: -43.8 eV for the cell shown

VASP calculation (PBE-GGA) on a geometry-optimized AlGa3Ag12 structure.

a = 4.0783 Å, b = 4.0783 Å, c = 16.7415 Å
α = 90.00°, β = 90.00°, γ = 90.00°
Fractional coordinates of all 16 atoms:
Al1 0.0000 0.0000 0.0000
Ga1 0.0000 0.0000 0.2488
Ga2 0.0000 0.0000 0.5000
Ga3 0.0000 0.0000 0.7512
Ag1 0.5000 0.5000 0.0000
Ag2 0.5000 0.5000 0.2484
Ag3 0.5000 0.5000 0.5000
Ag4 0.5000 0.5000 0.7516
Ag5 0.5000 0.0000 0.1225
Ag6 0.5000 0.0000 0.3742
Ag7 0.5000 0.0000 0.6258
Ag8 0.5000 0.0000 0.8775
Ag9 0.0000 0.5000 0.1225
Ag10 0.0000 0.5000 0.3742
Ag11 0.0000 0.5000 0.6258
Ag12 0.0000 0.5000 0.8775

Summary:
- Volume: 17.40 A^3/atom
- Magnetic moment: 0.000 μB per atom
- D(E_F): 5.59 states/eV/cell
- Symmetry: No. 123
- Electronic total energy: -47.0 eV for the cell shown

VASP calculation (PBE-GGA) on a geometry-optimized Al12Ga2Ag5 structure.

a = 8.2233 Å, b = 7.5216 Å, c = 6.5028 Å
α = 93.64°, β = 90.00°, γ = 123.14°
Fractional coordinates of all 19 atoms:
Al1 0.8556 0.7113 0.1352
Al2 0.0540 0.6098 0.8074
Al3 0.5558 0.6098 0.8074
Al4 0.1770 0.7940 0.4158
Al5 0.6170 0.7940 0.4158
Al6 0.4518 0.9035 0.7446
Al7 0.5482 0.0965 0.2554
Al8 0.8230 0.2060 0.5842
Al9 0.3830 0.2060 0.5842
Al10 0.9460 0.3902 0.1926
Al11 0.4442 0.3902 0.1926
Al12 0.1444 0.2887 0.8648
Ga1 0.7870 0.0000 0.0000
Ga2 0.2130 0.0000 0.0000
Ag1 0.2336 0.4672 0.4942
Ag2 0.3339 0.6679 0.1051
Ag3 0.0000 0.0000 0.5000
Ag4 0.6661 0.3321 0.8949
Ag5 0.7664 0.5328 0.5058

Summary:
- Volume: 17.68 A^3/atom
- Magnetic moment: 0.000 μB per atom
- D(E_F): 4.94 states/eV/cell
- Symmetry: No. 12
- Electronic total energy: -64.4 eV for the cell shown

Q: What is the D(E_F) in the seventh record?
A: 8.15 states/eV/cell

Q: What is the magnetic moment in the eleventh record?
A: 0.000 μB per atom